A plane-wave DFT calculation with PBE was carried out for TaTlBO5 after structural relaxation.

Output
Its total energy is -123.706 eV for the cell shown. The value obtained for the formation energy (no corrections) is -2.02 eV/atom. As for the volume: 12.14 Å³/atom. The total magnetic moment is 0.00 μB/f.u.

Cell and atoms, written as extended XYZ:
```
16
Lattice="3.366 -4.324 0.000 3.366 4.324 0.000 -3.291 0.000 6.671" Properties=species:S:1:pos:R:3 pbc="T T T"
Ta 0.000 0.000 0.000
Ta -1.645 0.000 3.336
Tl 0.898 1.382 5.003
Tl 2.543 -1.382 1.668
B 2.543 1.605 1.668
B 0.898 -1.605 5.003
O 0.898 3.713 5.003
O 1.614 2.483 2.486
O 1.738 0.696 0.756
O 3.473 2.483 0.849
O 0.092 -0.696 4.091
O 3.349 0.696 2.580
O -0.032 -2.483 5.822
O 1.703 -0.696 5.916
O 1.827 -2.483 4.185
O 2.543 -3.713 1.668
```

---

A plane-wave DFT calculation with PBE was carried out for GdHoMnPd after structural relaxation.

Output
Its total energy is -33.984 eV for the cell shown. The formation energy from the elements comes out at -0.241 eV/atom. As for the volume: 22.06 Å³/atom. The total magnetic moment is 10.44 μB/f.u.

Cell and atoms, written as extended XYZ:
```
4
Lattice="0.000 3.534 3.534 3.534 0.000 3.534 3.534 3.534 0.000" Properties=species:S:1:pos:R:3 pbc="T T T"
Gd 0.000 0.000 0.000
Ho 3.534 3.534 3.534
Mn 5.300 5.300 5.300
Pd 1.767 1.767 1.767
```

---

A plane-wave DFT calculation with PBE was carried out for K3ErSc3Se8 after structural relaxation.

Output
Its total energy is -78.512 eV for the cell shown. The value obtained for the formation energy (no corrections) is -1.59 eV/atom. As for the volume: 28.32 Å³/atom. The total magnetic moment is 0.00 μB/f.u.

Cell and atoms, written as extended XYZ:
```
15
Lattice="3.955 2.284 7.836 -3.955 2.284 7.836 0.000 -4.567 7.836" Properties=species:S:1:pos:R:3 pbc="T T T"
K -1.978 -1.142 7.836
K -1.978 1.142 15.673
K 0.000 2.284 7.836
Er 0.000 0.000 11.755
Sc -3.955 0.000 11.755
Sc -1.978 1.142 3.918
Sc 1.978 1.142 3.918
Se -2.053 -1.185 13.312
Se 0.000 0.000 5.447
Se 0.000 -2.370 10.197
Se -2.053 1.185 10.197
Se 2.053 -1.185 13.312
Se 0.000 2.370 13.312
Se 0.000 0.000 18.062
Se 2.053 1.185 10.197
```

---

A plane-wave DFT calculation with PBE was carried out for Sr2P2Se after structural relaxation.

Output
Its total energy is -21.798 eV for the cell shown. The value obtained for the formation energy (no corrections) is -0.83 eV/atom. As for the volume: 28.75 Å³/atom. The total magnetic moment is 1.53 μB/f.u.

Cell and atoms, written as extended XYZ:
```
5
Lattice="-2.850 2.850 4.424 2.850 -2.850 4.424 2.850 2.850 -4.424" Properties=species:S:1:pos:R:3 pbc="T T T"
Sr 2.850 0.000 2.212
Sr 0.000 2.850 2.212
P 0.000 0.000 1.029
P 0.000 0.000 7.820
Se 0.000 0.000 4.424
```

---

A plane-wave DFT calculation with PBE was carried out for La4Nd2Mg after structural relaxation.

Output
Its total energy is -59.632 eV for the cell shown. The formation energy from the elements comes out at 0.146 eV/atom. As for the volume: 35.95 Å³/atom. The total magnetic moment is 0.00 μB/f.u. For the energy above the most stable polymorph in this dataset, the calculation gives 0 meV per atom.

Cell and atoms, written as extended XYZ:
```
14
Lattice="-3.477 5.854 6.181 3.477 -5.854 6.181 3.477 5.854 -6.181" Properties=species:S:1:pos:R:3 pbc="T T T"
La 0.000 0.156 1.900
La 1.541 2.927 -0.108
La 1.936 -2.927 6.073
La 3.477 0.156 4.281
La 0.000 5.698 1.900
La 1.541 8.782 0.108
La 1.936 2.927 6.289
La 3.477 5.698 4.281
Nd 3.477 0.000 0.000
Nd 3.477 2.927 -2.674
Nd 0.000 0.000 6.181
Nd 0.000 2.927 8.855
Mg -1.738 2.927 3.090
Mg 1.738 2.927 3.090
```

---

A plane-wave DFT calculation with PBE was carried out for Rb2GaSb2 after structural relaxation.

Output
Its total energy is -122.269 eV for the cell shown. The value obtained for the formation energy (no corrections) is -0.42 eV/atom. As for the volume: 40.96 Å³/atom. The total magnetic moment is 0.00 μB/f.u. For the energy above the most stable polymorph in this dataset, the calculation gives 0 meV per atom.

Cell and atoms, written as extended XYZ:
```
40
Lattice="15.574 0.000 0.000 0.000 10.989 0.000 0.000 0.000 9.573" Properties=species:S:1:pos:R:3 pbc="T T T"
Rb 0.198 0.324 2.221
Rb 0.198 5.171 2.221
Rb 3.649 5.870 5.650
Rb 3.649 10.613 5.650
Rb 4.138 0.376 0.864
Rb 4.138 5.119 0.864
Rb 7.589 5.818 7.008
Rb 7.589 10.665 7.008
Rb 7.985 0.324 2.566
Rb 7.985 5.171 2.566
Rb 11.436 5.870 8.710
Rb 11.436 10.613 8.710
Rb 11.925 0.376 3.923
Rb 11.925 5.119 3.923
Rb 15.376 5.818 7.352
Rb 15.376 10.665 7.352
Ga 1.500 2.747 5.649
Ga 2.755 8.242 2.573
Ga 5.032 2.747 7.360
Ga 6.287 8.242 0.862
Ga 9.288 2.747 8.711
Ga 10.542 8.242 2.214
Ga 12.819 2.747 7.000
Ga 14.074 8.242 3.924
Sb 1.036 8.242 4.612
Sb 2.066 8.242 0.035
Sb 2.457 2.747 8.072
Sb 3.113 2.747 3.590
Sb 4.674 8.242 8.376
Sb 5.330 8.242 3.285
Sb 5.721 2.747 4.822
Sb 6.751 2.747 9.399
Sb 8.823 8.242 0.175
Sb 9.854 8.242 4.752
Sb 10.244 2.747 6.288
Sb 10.900 2.747 1.197
Sb 12.461 8.242 5.984
Sb 13.117 8.242 1.501
Sb 13.508 2.747 9.538
Sb 14.538 2.747 4.961
```

---

A plane-wave DFT calculation with PBE was carried out for Co4Tc after structural relaxation.

Output
Its total energy is -38.422 eV for the cell shown. The formation energy from the elements comes out at 0.074 eV/atom. As for the volume: 11.38 Å³/atom. The total magnetic moment is 4.07 μB/f.u. For the energy above the most stable polymorph in this dataset, the calculation gives 0 meV per atom.

Cell and atoms, written as extended XYZ:
```
5
Lattice="-2.823 2.823 1.785 2.823 -2.823 1.785 2.823 2.823 -1.785" Properties=species:S:1:pos:R:3 pbc="T T T"
Co 1.712 0.560 0.000
Co 2.262 -1.111 1.785
Co 0.560 3.934 0.000
Co 1.111 2.262 1.785
Tc 0.000 0.000 1.785
```

---

A plane-wave DFT calculation with PBE was carried out for K4Nd3SmSe8 after structural relaxation.

Output
Its total energy is -79.371 eV for the cell shown. The value obtained for the formation energy (no corrections) is -1.76 eV/atom. As for the volume: 31.38 Å³/atom. The total magnetic moment is 0.00 μB/f.u.

Cell and atoms, written as extended XYZ:
```
16
Lattice="4.337 2.504 7.706 -4.337 2.504 7.706 0.000 -5.008 7.706" Properties=species:S:1:pos:R:3 pbc="T T T"
K 0.000 0.000 0.000
K -2.169 -1.252 7.706
K -2.169 1.252 15.411
K 0.000 2.504 7.705
Nd -4.337 0.000 11.558
Nd -2.169 1.252 3.853
Nd 2.169 1.252 3.853
Sm 0.000 0.000 11.558
Se 0.000 0.000 5.482
Se -2.151 -1.242 13.178
Se 0.000 -2.484 9.938
Se -2.151 1.242 9.938
Se 2.151 -1.242 13.178
Se 0.000 2.484 13.178
Se 2.151 1.242 9.938
Se 0.000 0.000 17.634
```